--- 1 ---
Density functional theory data (PBE-GGA) for In2SiP after structural relaxation.

## Properties
DOS at the Fermi energy: 0.37 states/eV/atom
Total magnetization: 0.00 μB/f.u.

a b c (Å): 3.815 3.388 7.348
angles (deg): 90.00 104.20 90.00
Sites, in units of the cell vectors:
In 0.000 0.000 0.000
In 0.338 0.500 0.665
Si 0.613 0.500 0.229
P 0.727 0.000 0.440


--- 2 ---
Density functional theory data (PBE-GGA) for In2SiP after structural relaxation.

## Properties
DOS at the Fermi energy: 0.47 states/eV/atom
Total magnetization: 0.00 μB/f.u.

a b c (Å): 3.278 3.278 9.540
angles (deg): 90.00 90.00 117.00
Sites, in units of the cell vectors:
In 0.000 0.000 0.000
In 0.500 0.500 0.313
Si 0.500 0.500 0.732
P 0.000 0.000 0.579


Bottom line: 1, by a margin of 10.9 kJ/mol of atoms.


--- 1 ---
Density functional theory data (PBE-GGA) for In3SnP after structural relaxation.

## Properties
DOS at the Fermi energy: 0.40 states/eV/atom
Total magnetization: 0.00 μB/f.u.

a b c (Å): 5.540 5.540 5.540
angles (deg): 90.00 90.00 90.00
Sites, in units of the cell vectors:
In 0.000 0.000 0.500
In 0.000 0.500 0.000
In 0.500 0.000 0.000
Sn 0.000 0.000 0.000
P 0.500 0.500 0.500


--- 2 ---
Density functional theory data (PBE-GGA) for In3SnP after structural relaxation.

## Properties
DOS at the Fermi energy: 0.77 states/eV/atom
Total magnetization: 0.00 μB/f.u.

a b c (Å): 5.214 5.214 5.214
angles (deg): 90.00 90.00 90.00
Sites, in units of the cell vectors:
In 0.000 0.000 0.500
In 0.000 0.500 0.000
In 0.500 0.000 0.000
Sn 0.500 0.500 0.500
P 0.000 0.000 0.000


Bottom line: 2, by a margin of 46.9 kJ/mol of atoms.


--- 1 ---
Density functional theory data (PBE-GGA) for Sr2InP2 after structural relaxation.

## Properties
DOS at the Fermi energy: 1.03 states/eV/atom
Total magnetization: 0.00 μB/f.u.

a b c (Å): 7.869 7.869 4.223
angles (deg): 90.00 90.00 90.00
Sites, in units of the cell vectors:
Sr 0.148 0.352 0.000
Sr 0.352 0.852 0.000
Sr 0.648 0.148 0.000
Sr 0.852 0.648 0.000
In 0.000 0.000 0.500
In 0.500 0.500 0.500
P 0.163 0.663 0.500
P 0.337 0.163 0.500
P 0.663 0.837 0.500
P 0.837 0.337 0.500


--- 2 ---
Density functional theory data (PBE-GGA) for Sr2InP2 after structural relaxation.

## Properties
DOS at the Fermi energy: 0.18 states/eV/atom
Total magnetization: 0.00 μB/f.u.

a b c (Å): 8.808 8.808 3.530
angles (deg): 90.00 90.00 90.00
Sites, in units of the cell vectors:
Sr 0.136 0.364 0.000
Sr 0.364 0.864 0.000
Sr 0.636 0.136 0.000
Sr 0.864 0.636 0.000
In 0.000 0.000 0.000
In 0.500 0.500 0.000
P 0.165 0.665 0.500
P 0.335 0.165 0.500
P 0.665 0.835 0.500
P 0.835 0.335 0.500


Bottom line: 1, by a margin of 19.6 kJ/mol of atoms.


--- 1 ---
Density functional theory data (PBE-GGA) for Sr2InP2 after structural relaxation.

## Properties
DOS at the Fermi energy: 0.82 states/eV/atom
Total magnetization: 0.41 μB/f.u.

a b c (Å): 10.131 10.131 10.131
angles (deg): 158.77 158.77 30.20
Sites, in units of the cell vectors:
Sr 0.125 0.125 0.000
Sr 0.875 0.875 0.000
In 0.500 0.500 0.000
P 0.250 0.750 0.500
P 0.750 0.250 0.500


--- 2 ---
Density functional theory data (PBE-GGA) for Sr2InP2 after structural relaxation.

## Properties
DOS at the Fermi energy: 0.18 states/eV/atom
Total magnetization: 0.00 μB/f.u.

a b c (Å): 6.306 6.306 8.243
angles (deg): 105.84 105.84 55.63
Sites, in units of the cell vectors:
Sr 0.006 0.281 0.147
Sr 0.281 0.006 0.647
Sr 0.719 0.994 0.353
Sr 0.994 0.719 0.853
In 0.345 0.655 0.250
In 0.655 0.345 0.750
P 0.217 0.488 0.506
P 0.488 0.217 0.006
P 0.512 0.783 0.994
P 0.783 0.512 0.494


Bottom line: 2, by a margin of 31.6 kJ/mol of atoms.


--- 1 ---
Density functional theory data (PBE-GGA) for SrInP3 after structural relaxation.

## Properties
DOS at the Fermi energy: 1.05 states/eV/atom
Total magnetization: 0.00 μB/f.u.

a b c (Å): 5.092 5.092 5.092
angles (deg): 90.00 90.00 90.00
Sites, in units of the cell vectors:
Sr 0.000 0.000 0.000
In 0.500 0.500 0.500
P 0.000 0.500 0.500
P 0.500 0.000 0.500
P 0.500 0.500 0.000


--- 2 ---
Density functional theory data (PBE-GGA) for SrInP3 after structural relaxation.

## Properties
DOS at the Fermi energy: 1.18 states/eV/atom
Total magnetization: 0.00 μB/f.u.

a b c (Å): 5.507 5.507 5.507
angles (deg): 90.00 90.00 90.00
Sites, in units of the cell vectors:
Sr 0.000 0.000 0.000
In 0.500 0.500 0.500
P 0.000 0.000 0.500
P 0.000 0.500 0.000
P 0.500 0.000 0.000


Bottom line: 1, by a margin of 73.8 kJ/mol of atoms.


--- 1 ---
Density functional theory data (PBE-GGA) for Sr2InP after structural relaxation.

## Properties
DOS at the Fermi energy: 0.24 states/eV/atom
Total magnetization: 0.00 μB/f.u.

a b c (Å): 5.824 5.824 5.824
angles (deg): 128.99 128.99 75.03
Sites, in units of the cell vectors:
Sr 0.250 0.750 0.500
Sr 0.750 0.250 0.500
In 0.000 0.000 0.000
P 0.500 0.500 0.000


--- 2 ---
Density functional theory data (PBE-GGA) for Sr2InP after structural relaxation.

## Properties
DOS at the Fermi energy: 0.28 states/eV/atom
Total magnetization: 0.00 μB/f.u.

a b c (Å): 7.154 7.154 7.154
angles (deg): 105.67 105.67 117.36
Sites, in units of the cell vectors:
Sr 0.073 0.625 0.948
Sr 0.375 0.323 0.448
Sr 0.677 0.125 0.052
Sr 0.875 0.927 0.552
In 0.250 0.750 0.500
In 0.500 0.500 0.000
P 0.000 0.000 0.000
P 0.750 0.250 0.500


--- 3 ---
Density functional theory data (PBE-GGA) for Sr2InP after structural relaxation.

## Properties
DOS at the Fermi energy: 0.94 states/eV/atom
Total magnetization: 0.00 μB/f.u.

a b c (Å): 5.531 5.531 5.531
angles (deg): 60.00 60.00 60.00
Sites, in units of the cell vectors:
Sr 0.250 0.250 0.250
Sr 0.750 0.750 0.750
In 0.000 0.000 0.000
P 0.500 0.500 0.500


--- 4 ---
Density functional theory data (PBE-GGA) for Sr2InP after structural relaxation.

## Properties
DOS at the Fermi energy: 0.76 states/eV/atom
Total magnetization: 0.00 μB/f.u.

a b c (Å): 5.537 5.537 5.537
angles (deg): 60.00 60.00 60.00
Sites, in units of the cell vectors:
Sr 0.000 0.000 0.000
Sr 0.250 0.250 0.250
In 0.500 0.500 0.500
P 0.750 0.750 0.750


Bottom line: 1, by a margin of 3.8 kJ/mol of atoms.


--- 1 ---
Density functional theory data (PBE-GGA) for TaIn3P after structural relaxation.

## Properties
DOS at the Fermi energy: 1.28 states/eV/atom
Total magnetization: 0.00 μB/f.u.

a b c (Å): 5.416 5.416 5.416
angles (deg): 90.00 90.00 90.00
Sites, in units of the cell vectors:
Ta 0.000 0.000 0.000
In 0.000 0.000 0.500
In 0.000 0.500 0.000
In 0.500 0.000 0.000
P 0.500 0.500 0.500


--- 2 ---
Density functional theory data (PBE-GGA) for TaIn3P after structural relaxation.

## Properties
DOS at the Fermi energy: 0.92 states/eV/atom
Total magnetization: 2.07 μB/f.u.

a b c (Å): 5.061 5.061 5.061
angles (deg): 90.00 90.00 90.00
Sites, in units of the cell vectors:
Ta 0.000 0.000 0.000
In 0.000 0.500 0.500
In 0.500 0.000 0.500
In 0.500 0.500 0.000
P 0.500 0.500 0.500


Bottom line: 2, by a margin of 5.1 kJ/mol of atoms.